Record 1
VASP calculation (PBE) on a geometry-optimized AlGa2P structure.

POSCAR file:
```
AlGa2P
1.0
-2.992 2.992 5.195
2.992 -2.992 5.195
2.992 2.992 -5.195
Al Ga P
2 4 2
Direct
0.000 0.000 0.000
0.750 0.250 0.500
0.152 0.625 0.027
0.375 0.402 0.527
0.598 0.125 0.973
0.875 0.848 0.473
0.250 0.750 0.500
0.500 0.500 0.000
```

Properties
As for the energy relative to the elements: 0.092 eV/atom. The value obtained for the uncorrected energy is -3.710 eV per atom. Its space-group type is I-42d. The value obtained for the distance to the lowest polymorph of the same formula is 0.0 meV/atom.

Record 2
VASP calculation (PBE) on a geometry-optimized AlGaP2 structure.

POSCAR file:
```
AlGaP2
1.0
0.000 3.166 3.166
3.166 0.000 3.166
3.166 3.166 0.000
Al Ga P
1 1 2
Direct
0.000 0.000 0.000
0.500 0.500 0.500
0.250 0.250 0.250
0.750 0.750 0.750
```

Properties
As for the energy relative to the elements: 0.243 eV/atom. The value obtained for the uncorrected energy is -4.154 eV per atom. Its space-group type is Fm-3m. The value obtained for the distance to the lowest polymorph of the same formula is 751.8 meV/atom.

Record 3
VASP calculation (PBE) on a geometry-optimized AlGaP structure.

POSCAR file:
```
AlGaP
1.0
5.182 -3.037 0.000
5.182 3.037 0.000
-1.494 0.000 3.845
Al Ga P
2 2 2
Direct
0.134 0.134 0.113
0.866 0.866 0.887
0.443 0.412 0.683
0.588 0.557 0.317
0.041 0.394 0.697
0.606 0.959 0.303
```

Properties
As for the energy relative to the elements: -0.157 eV/atom. The value obtained for the uncorrected energy is -4.217 eV per atom. Its space-group type is C2. The value obtained for the distance to the lowest polymorph of the same formula is 139.5 meV/atom.

Record 4
VASP calculation (PBE) on a geometry-optimized AlGaP structure.

POSCAR file:
```
AlGaP
1.0
3.479 0.000 0.000
1.734 3.371 0.000
0.044 1.888 9.828
Al Ga P
2 2 2
Direct
0.000 0.000 0.000
0.305 0.382 0.301
0.389 0.237 0.786
0.607 0.767 0.602
0.030 0.925 0.422
0.719 0.556 0.116
```

Properties
As for the energy relative to the elements: -0.151 eV/atom. The value obtained for the uncorrected energy is -4.210 eV per atom. Its space-group type is P1. The value obtained for the distance to the lowest polymorph of the same formula is 146.0 meV/atom.

Record 5
VASP calculation (PBE) on a geometry-optimized AlGaP structure.

POSCAR file:
```
AlGaP
1.0
4.068 0.000 0.000
-0.774 5.117 0.000
-0.602 -1.304 5.945
Al Ga P
2 2 2
Direct
0.000 0.000 0.000
0.435 0.404 0.664
0.165 0.450 0.260
0.758 0.725 0.395
0.450 0.739 0.006
0.884 0.144 0.655
```

Properties
As for the energy relative to the elements: -0.200 eV/atom. The value obtained for the uncorrected energy is -4.260 eV per atom. Its space-group type is P1. The value obtained for the distance to the lowest polymorph of the same formula is 96.2 meV/atom.

Record 6
VASP calculation (PBE) on a geometry-optimized AlGaP structure.

POSCAR file:
```
AlGaP
1.0
3.717 -4.758 0.000
3.717 4.758 0.000
-2.319 0.000 3.451
Al Ga P
2 2 2
Direct
0.150 0.850 0.000
0.850 0.150 0.000
0.429 0.429 0.008
0.637 0.637 0.714
0.383 0.985 0.685
0.985 0.383 0.685
```

Properties
As for the energy relative to the elements: -0.199 eV/atom. The value obtained for the uncorrected energy is -4.259 eV per atom. Its space-group type is Cm. The value obtained for the distance to the lowest polymorph of the same formula is 97.2 meV/atom.

Record 7
VASP calculation (PBE) on a geometry-optimized AlGaP structure.

POSCAR file:
```
AlGaP
1.0
3.618 0.000 0.000
1.800 3.355 0.000
1.795 1.183 10.169
Al Ga P
2 2 2
Direct
0.000 0.000 0.000
0.217 0.247 0.324
0.253 0.773 0.711
0.604 0.239 0.537
0.711 0.675 0.901
0.923 0.926 0.232
```

Properties
As for the energy relative to the elements: -0.186 eV/atom. The value obtained for the uncorrected energy is -4.246 eV per atom. Its space-group type is P1. The value obtained for the distance to the lowest polymorph of the same formula is 110.2 meV/atom.

Record 8
VASP calculation (PBE) on a geometry-optimized Al2GaP structure.

POSCAR file:
```
Al2GaP
1.0
-3.002 3.002 5.103
3.002 -3.002 5.103
3.002 3.002 -5.103
Al Ga P
4 2 2
Direct
0.097 0.625 0.972
0.375 0.347 0.472
0.653 0.125 0.028
0.875 0.903 0.528
0.250 0.750 0.500
0.500 0.500 0.000
0.000 0.000 0.000
0.750 0.250 0.500
```

Properties
As for the energy relative to the elements: 0.008 eV/atom. The value obtained for the uncorrected energy is -3.973 eV per atom. Its space-group type is I-42d. The value obtained for the distance to the lowest polymorph of the same formula is 0.0 meV/atom.

Record 9
VASP calculation (PBE) on a geometry-optimized AlGaP structure.

POSCAR file:
```
AlGaP
1.0
1.929 1.114 10.386
-1.929 1.114 10.386
0.000 -2.228 10.386
Al Ga P
2 2 2
Direct
0.000 0.000 0.000
0.084 0.084 0.084
0.564 0.564 0.564
0.853 0.853 0.853
0.638 0.638 0.638
0.779 0.779 0.779
```

Properties
As for the energy relative to the elements: -0.225 eV/atom. The value obtained for the uncorrected energy is -4.285 eV per atom. Its space-group type is R3m. The value obtained for the distance to the lowest polymorph of the same formula is 71.4 meV/atom.

Record 10
VASP calculation (PBE) on a geometry-optimized Al2GaP structure.

POSCAR file:
```
Al2GaP
1.0
0.000 3.212 3.212
3.212 0.000 3.212
3.212 3.212 0.000
Al Ga P
2 1 1
Direct
0.250 0.250 0.250
0.750 0.750 0.750
0.000 0.000 0.000
0.500 0.500 0.500
```

Properties
As for the energy relative to the elements: 0.167 eV/atom. The value obtained for the uncorrected energy is -3.813 eV per atom. Its space-group type is Fm-3m. The value obtained for the distance to the lowest polymorph of the same formula is 159.6 meV/atom.

Record 11
VASP calculation (PBE) on a geometry-optimized Al2Ga2P structure.

POSCAR file:
```
Al2Ga2P
1.0
8.078 0.000 0.000
0.000 8.078 0.000
0.000 0.000 2.709
Al Ga P
4 4 2
Direct
0.131 0.369 0.000
0.369 0.869 0.000
0.631 0.131 0.000
0.869 0.631 0.000
0.169 0.669 0.500
0.331 0.169 0.500
0.669 0.831 0.500
0.831 0.331 0.500
0.000 0.000 0.500
0.500 0.500 0.500
```

Properties
As for the energy relative to the elements: 0.232 eV/atom. The value obtained for the uncorrected energy is -3.557 eV per atom. Its space-group type is P4/mbm. The value obtained for the distance to the lowest polymorph of the same formula is 119.6 meV/atom.

Record 12
VASP calculation (PBE) on a geometry-optimized AlGaP2 structure.

POSCAR file:
```
AlGaP2
1.0
3.894 0.000 0.000
0.000 3.894 0.000
0.000 0.000 5.499
Al Ga P
1 1 2
Direct
0.000 0.000 0.000
0.500 0.500 0.500
0.000 0.500 0.249
0.500 0.000 0.751
```

Properties
As for the energy relative to the elements: -0.508 eV/atom. The value obtained for the uncorrected energy is -4.905 eV per atom. Its space-group type is P-4m2. The value obtained for the distance to the lowest polymorph of the same formula is 0.7 meV/atom.

Record 13
VASP calculation (PBE) on a geometry-optimized AlGaP structure.

POSCAR file:
```
AlGaP
1.0
3.831 0.000 0.000
-1.916 3.318 0.000
0.000 0.000 10.450
Al Ga P
2 2 2
Direct
0.000 0.000 0.000
0.333 0.667 0.307
0.333 0.667 0.551
0.667 0.333 0.694
0.000 0.000 0.227
0.667 0.333 0.920
```

Properties
As for the energy relative to the elements: -0.297 eV/atom. The value obtained for the uncorrected energy is -4.356 eV per atom. Its space-group type is P3m1. The value obtained for the distance to the lowest polymorph of the same formula is 0.0 meV/atom.

Record 14
VASP calculation (PBE) on a geometry-optimized AlGa3P structure.

POSCAR file:
```
AlGa3P
1.0
4.878 0.000 0.000
0.000 4.878 0.000
0.000 0.000 4.878
Al Ga P
1 3 1
Direct
0.000 0.000 0.000
0.000 0.000 0.500
0.000 0.500 0.000
0.500 0.000 0.000
0.500 0.500 0.500
```

Properties
As for the energy relative to the elements: 0.592 eV/atom. The value obtained for the uncorrected energy is -3.055 eV per atom. Its space-group type is Pm-3m. The value obtained for the distance to the lowest polymorph of the same formula is 174.9 meV/atom.

Record 15
VASP calculation (PBE) on a geometry-optimized Al2GaP3 structure.

POSCAR file:
```
Al2GaP3
1.0
3.371 -5.839 0.000
3.371 5.839 0.000
-2.249 0.000 6.356
Al Ga P
4 2 6
Direct
0.083 0.916 0.500
0.250 0.750 0.000
0.750 0.250 0.500
0.916 0.083 0.000
0.416 0.583 0.500
0.583 0.416 0.000
0.124 0.625 0.625
0.291 0.458 0.124
0.458 0.291 0.624
0.625 0.124 0.125
0.792 0.959 0.625
0.959 0.792 0.125
```

Properties
As for the energy relative to the elements: -0.543 eV/atom. The value obtained for the uncorrected energy is -5.000 eV per atom. Its space-group type is Cc.

Record 16
VASP calculation (PBE) on a geometry-optimized AlGa3P structure.

POSCAR file:
```
AlGa3P
1.0
4.796 0.000 0.000
0.000 4.796 0.000
0.000 0.000 4.796
Al Ga P
1 3 1
Direct
0.000 0.000 0.000
0.000 0.500 0.500
0.500 0.000 0.500
0.500 0.500 0.000
0.500 0.500 0.500
```

Properties
As for the energy relative to the elements: 0.417 eV/atom. The value obtained for the uncorrected energy is -3.230 eV per atom. Its space-group type is Pm-3m. The value obtained for the distance to the lowest polymorph of the same formula is 0.0 meV/atom.

Record 17
VASP calculation (PBE) on a geometry-optimized AlGaP3 structure.

POSCAR file:
```
AlGaP3
1.0
4.679 0.000 0.000
0.000 4.679 0.000
0.000 0.000 4.679
Al Ga P
1 1 3
Direct
0.000 0.000 0.000
0.500 0.500 0.500
0.000 0.000 0.500
0.000 0.500 0.000
0.500 0.000 0.000
```

Properties
As for the energy relative to the elements: 0.658 eV/atom. The value obtained for the uncorrected energy is -3.942 eV per atom. Its space-group type is Pm-3m. The value obtained for the distance to the lowest polymorph of the same formula is 0.0 meV/atom.

Record 18
VASP calculation (PBE) on a geometry-optimized AlGaP2 structure.

POSCAR file:
```
AlGaP2
1.0
-2.752 2.752 5.505
2.752 -2.752 5.505
2.752 2.752 -5.505
Al Ga P
2 2 4
Direct
0.000 0.000 0.000
0.750 0.250 0.500
0.250 0.750 0.500
0.500 0.500 0.000
0.124 0.625 0.999
0.375 0.374 0.499
0.626 0.125 0.001
0.875 0.876 0.501
```

Properties
As for the energy relative to the elements: -0.509 eV/atom. The value obtained for the uncorrected energy is -4.906 eV per atom. Its space-group type is I-42d. The value obtained for the distance to the lowest polymorph of the same formula is 0.0 meV/atom.

Record 19
VASP calculation (PBE) on a geometry-optimized AlGa2PPb structure.

POSCAR file:
```
AlGa2PPb
1.0
5.530 0.000 0.000
0.000 5.530 0.000
0.000 0.000 5.299
Al Ga P Pb
1 2 1 1
Direct
0.000 0.000 0.000
0.000 0.500 0.500
0.500 0.000 0.500
0.500 0.500 0.000
0.500 0.500 0.500
```

Properties
As for the energy relative to the elements: 0.956 eV/atom. The value obtained for the uncorrected energy is -2.826 eV per atom. Its space-group type is P4/mmm.

Record 20
VASP calculation (PBE) on a geometry-optimized RbAlGa2P structure.

POSCAR file:
```
RbAlGa2P
1.0
5.780 0.000 0.000
0.000 5.780 0.000
0.000 0.000 5.884
Rb Al Ga P
1 1 2 1
Direct
0.000 0.000 0.000
0.000 0.000 0.500
0.000 0.500 0.000
0.500 0.000 0.000
0.500 0.500 0.500
```

Properties
As for the energy relative to the elements: 1.648 eV/atom. The value obtained for the uncorrected energy is -1.587 eV per atom. Its space-group type is P4/mmm.

Record 21
VASP calculation (PBE) on a geometry-optimized AlGaP2S structure.

POSCAR file:
```
AlGaP2S
1.0
4.704 0.000 0.000
0.000 4.704 0.000
0.000 0.000 4.671
Al Ga P S
1 1 2 1
Direct
0.000 0.000 0.000
0.500 0.500 0.500
0.000 0.500 0.000
0.500 0.000 0.000
0.000 0.000 0.500
```

Properties
The value obtained for the uncorrected energy is -3.906 eV per atom. For the uncorrected formation energy, the calculation gives 437 meV/atom. Its space-group type is P4/mmm. The value obtained for the distance to the lowest polymorph of the same formula is 0.0 meV/atom.

Record 22
VASP calculation (PBE) on a geometry-optimized AlGaPS2 structure.

POSCAR file:
```
AlGaPS2
1.0
4.661 0.000 0.000
0.000 4.661 0.000
0.000 0.000 4.753
Al Ga P S
1 1 1 2
Direct
0.000 0.000 0.000
0.500 0.500 0.500
0.000 0.000 0.500
0.000 0.500 0.000
0.500 0.000 0.000
```

Properties
The value obtained for the uncorrected energy is -3.913 eV per atom. For the uncorrected formation energy, the calculation gives 174 meV/atom. Its space-group type is P4/mmm. The value obtained for the distance to the lowest polymorph of the same formula is 0.0 meV/atom.

Record 23
VASP calculation (PBE) on a geometry-optimized SrAlGaP2 structure.

POSCAR file:
```
SrAlGaP2
1.0
4.804 0.000 0.000
0.000 4.804 0.000
0.000 0.000 5.632
Sr Al Ga P
1 1 1 2
Direct
0.000 0.000 0.000
0.500 0.500 0.000
0.000 0.000 0.500
0.000 0.500 0.500
0.500 0.000 0.500
```

Properties
As for the energy relative to the elements: 0.494 eV/atom. The value obtained for the uncorrected energy is -3.360 eV per atom. Its space-group type is P4/mmm.

Record 24
VASP calculation (PBE) on a geometry-optimized TiAlGaP2 structure.

POSCAR file:
```
TiAlGaP2
1.0
4.692 0.000 0.000
0.000 4.692 0.000
0.000 0.000 5.052
Ti Al Ga P
1 1 1 2
Direct
0.000 0.000 0.000
0.000 0.000 0.500
0.500 0.500 0.500
0.000 0.500 0.000
0.500 0.000 0.000
```

Properties
As for the energy relative to the elements: 0.251 eV/atom. The value obtained for the uncorrected energy is -4.846 eV per atom. Its space-group type is P4/mmm.

Record 25
VASP calculation (PBE) on a geometry-optimized AlZnGa2P structure.

POSCAR file:
```
AlZnGa2P
1.0
4.783 0.000 0.000
0.000 4.783 0.000
0.000 0.000 4.743
Al Zn Ga P
1 1 2 1
Direct
0.000 0.000 0.000
0.500 0.500 0.000
0.000 0.500 0.500
0.500 0.000 0.500
0.000 0.000 0.500
```

Properties
As for the energy relative to the elements: 0.454 eV/atom. The value obtained for the uncorrected energy is -2.842 eV per atom. Its space-group type is P4/mmm.

Record 26
VASP calculation (PBE) on a geometry-optimized Pa3Al2Ga6 structure.

POSCAR file:
```
Pa3Al2Ga6
1.0
-2.050 2.050 14.067
2.050 -2.050 14.067
2.050 2.050 -14.067
Pa Al Ga
3 2 6
Direct
0.000 0.000 0.000
0.167 0.167 0.000
0.833 0.833 0.000
0.361 0.361 0.000
0.639 0.639 0.000
0.079 0.579 0.500
0.272 0.272 0.000
0.421 0.921 0.500
0.579 0.079 0.500
0.728 0.728 0.000
0.921 0.421 0.500
```

Properties
As for the energy relative to the elements: -0.096 eV/atom. The value obtained for the uncorrected energy is -5.017 eV per atom. Its space-group type is I4/mmm.

Number 1: theoretical density 3.5 g/cm³. Number 2: theoretical density 4.2 g/cm³. Number 3: theoretical density 3.5 g/cm³. Number 4: theoretical density 3.7 g/cm³. Number 5: theoretical density 3.4 g/cm³. Number 6: theoretical density 3.5 g/cm³. Number 7: theoretical density 3.4 g/cm³. Number 8: theoretical density 2.8 g/cm³. Number 9: theoretical density 3.2 g/cm³. Number 10: theoretical density 3.9 g/cm³. Number 11: theoretical density 4.2 g/cm³. Number 12: theoretical density 3.2 g/cm³. Number 13: theoretical density 3.2 g/cm³. Number 14: theoretical density 3.8 g/cm³. Number 15: theoretical density 2.9 g/cm³. Number 16: theoretical density 4.0 g/cm³. Number 17: theoretical density 3.1 g/cm³. Number 18: theoretical density 3.2 g/cm³. Number 19: theoretical density 4.1 g/cm³. Number 20: theoretical density 2.4 g/cm³. Number 21: theoretical density 3.1 g/cm³. Number 22: theoretical density 3.1 g/cm³. Number 23: theoretical density 3.1 g/cm³. Number 24: theoretical density 3.1 g/cm³. Number 25: theoretical density 4.0 g/cm³. Number 26: theoretical density 8.2 g/cm³.